No. 1
First-principles (PBEsol) data for a geometry-optimized Ba2LaZn structure, as listed in the Alexandria database.

Cell lengths 3.942, 3.942, 10.013 Å; angles 90.00, 90.00, 90.00 degrees
Fractional positions:
Zn (0.500, 0.500, 0.720)
Ba (0.000, 0.000, 0.927)
Ba (0.500, 0.500, 0.279)
La (0.000, 0.000, 0.574)

Results
symmetry	P4mm, No. 99
total DFT energy (no corrections)	-11.4	eV/cell


No. 2
First-principles (PBEsol) data for a geometry-optimized ZnIrAu structure, as listed in the Alexandria database.

Cell lengths 4.234, 4.234, 4.234 Å; angles 60.00, 60.00, 60.00 degrees
Fractional positions:
Au (0.500, 0.500, 0.500)
Ir (0.750, 0.750, 0.750)
Zn (0.000, 0.000, 0.000)

Results
symmetry	F-43m, No. 216
energy relative to the lowest polymorph listed for this composition	1.31	eV/f.u.
total DFT energy (no corrections)	-13.9	eV/cell


No. 3
First-principles (PBEsol) data for a geometry-optimized MnRh2Br structure, as listed in the Alexandria database.

Cell lengths 2.918, 2.918, 8.310 Å; angles 79.89, 79.89, 60.00 degrees
Each line ends with the local moment (μB).
Fractional positions:
Br (0.500, 0.500, 0.500)  0.00
Mn (0.000, 0.000, 0.000)  3.15
Rh (0.256, 0.256, 0.231)  0.14
Rh (0.744, 0.744, 0.769)  0.14

Results
symmetry	R-3m, No. 166
formation energy (no corrections)	0.362	eV per atom
energy relative to the lowest polymorph listed for this composition	0.00	eV/f.u.
total DFT energy (no corrections)	-26.5	eV/cell


No. 4
First-principles (PBEsol) data for a geometry-optimized Zn2ReSiPb structure, as listed in the Alexandria database.

Cell lengths 4.881, 4.881, 5.348 Å; angles 90.00, 90.00, 90.00 degrees
Each line ends with the local moment (μB).
Fractional positions:
Pb (0.000, 0.000, 0.000)  0.01
Re (0.500, 0.500, 0.500)  3.26
Zn (0.000, 0.500, 0.000)  -0.03
Zn (0.500, 0.000, 0.000)  -0.03
Si (0.000, 0.000, 0.500)  -0.09

Results
symmetry	P4/mmm, No. 123
formation energy (no corrections)	2.105	eV per atom
total DFT energy (no corrections)	-15.7	eV/cell